# 1
The following is a DFT calculation (PBE-GGA) of a geometry-optimized NdSm2Ni6Pt3 structure.

```
NdSm2Ni6Pt3
1.0
2.575 1.487 8.510
-2.575 1.487 8.510
0.000 -2.974 8.510
Nd Sm Ni Pt
1 2 6 3
Direct
0.000 0.000 0.000 Nd
0.138 0.138 0.138 Sm
0.862 0.862 0.862 Sm
0.080 0.586 0.586 Ni
0.414 0.414 0.920 Ni
0.414 0.920 0.414 Ni
0.586 0.080 0.586 Ni
0.586 0.586 0.080 Ni
0.920 0.414 0.414 Ni
0.333 0.333 0.333 Pt
0.500 0.500 0.500 Pt
0.667 0.667 0.667 Pt
```

Properties
* energy relative to the elements: -0.575 eV per atom
* crystal system: trigonal

***

# 2
The following is a DFT calculation (PBE-GGA) of a geometry-optimized DyCuPbS3 structure.

```
DyCuPbS3
1.0
10.921 0.000 0.000
0.000 4.073 0.000
0.000 0.000 11.328
Dy Cu Pb S
4 4 4 12
Direct
0.015 0.250 0.181 Dy
0.485 0.750 0.681 Dy
0.515 0.250 0.319 Dy
0.985 0.750 0.819 Dy
0.246 0.750 0.296 Cu
0.254 0.250 0.796 Cu
0.746 0.750 0.204 Cu
0.754 0.250 0.704 Cu
0.181 0.250 0.505 Pb
0.319 0.750 0.005 Pb
0.681 0.250 0.995 Pb
0.819 0.750 0.495 Pb
0.042 0.750 0.352 S
0.101 0.250 0.938 S
0.227 0.750 0.694 S
0.273 0.250 0.194 S
0.399 0.750 0.438 S
0.458 0.250 0.852 S
0.542 0.750 0.148 S
0.601 0.250 0.562 S
0.727 0.750 0.806 S
0.773 0.250 0.306 S
0.899 0.750 0.062 S
0.958 0.250 0.648 S
```

Properties
* crystal system: orthorhombic
* VASP energy: -123.49 eV per cell

***

# 3
The following is a DFT calculation (PBE-GGA) of a geometry-optimized Y2Ta4Sb3C3 structure.

```
Y2Ta4Sb3C3
1.0
5.154 -2.991 0.000
5.154 2.991 0.000
-3.511 0.000 13.718
Y Ta Sb C
4 8 6 6
Direct
0.035 0.879 0.603 Y
0.121 0.965 0.897 Y
0.879 0.035 0.103 Y
0.965 0.121 0.397 Y
0.195 0.347 0.075 Ta
0.297 0.484 0.425 Ta
0.347 0.195 0.575 Ta
0.484 0.297 0.925 Ta
0.516 0.703 0.075 Ta
0.653 0.805 0.425 Ta
0.703 0.516 0.575 Ta
0.805 0.653 0.925 Ta
0.086 0.299 0.753 Sb
0.299 0.086 0.253 Sb
0.463 0.537 0.750 Sb
0.537 0.463 0.250 Sb
0.701 0.914 0.747 Sb
0.914 0.701 0.247 Sb
0.000 0.500 0.500 C
0.175 0.648 0.000 C
0.352 0.825 0.500 C
0.500 0.000 0.000 C
0.648 0.175 0.500 C
0.825 0.352 0.000 C
```

Properties
* crystal system: monoclinic
* VASP energy: -211.38 eV per cell

***

# 4
The following is a DFT calculation (PBE-GGA) of a geometry-optimized Zn2BClO3 structure.

```
Zn2BClO3
1.0
4.385 -2.532 0.000
4.385 2.532 0.000
-2.943 0.000 11.124
Zn B Cl O
4 2 2 6
Direct
0.067 0.567 0.701 Zn
0.433 0.933 0.799 Zn
0.567 0.067 0.201 Zn
0.933 0.433 0.299 Zn
0.250 0.750 0.250 B
0.750 0.250 0.750 B
0.000 0.500 0.500 Cl
0.500 0.000 0.000 Cl
0.021 0.979 0.750 O
0.251 0.478 0.250 O
0.478 0.251 0.750 O
0.522 0.749 0.250 O
0.749 0.522 0.750 O
0.979 0.021 0.250 O
```

Properties
* crystal system: monoclinic
* VASP energy: -76.21 eV per cell

***

Q: Number 2 is which compound?
A: DyCuPbS3